! Ca2ZrRu PBE-GGA relaxed; values from VASP
! - mass density (g/cm3) = 5.0
! - Fermi-level density of states (states/eV/cell) = 2.920
! - spin magnetization (μB/f.u.) = 0.00
! - space-group type = No. 139
! - DFT total energy (eV/atom) = -5.15
! - relative energy among the computed polymorphs (meV/atom) = 394
! - calculated formation energy (eV per atom) = 0.3051
&SYSTEM
  ibrav = 0, nat = 4, ntyp = 3
/
ATOMIC_SPECIES
Ru 101.07 Ru.upf
Ca 40.08 Ca.upf
Zr 91.22 Zr.upf
ATOMIC_POSITIONS angstrom
Ru 1.619 2.559 1.461
Ca 0.000 0.000 0.000
Ca 4.647 2.558 0.000
Zr 3.028 -0.001 1.461
CELL_PARAMETERS angstrom
6.056 -0.002 0.000
3.238 5.117 0.000
-4.647 -2.558 2.922

! BePtO PBE-GGA relaxed; values from VASP
! - mass density (g/cm3) = 10.2
! - Fermi-level density of states (states/eV/cell) = 4.059
! - spin magnetization (μB/f.u.) = 0.00
! - space-group type = No. 62
! - DFT total energy (eV/atom) = -6.09
&SYSTEM
  ibrav = 0, nat = 12, ntyp = 3
/
ATOMIC_SPECIES
Pt 195.08 Pt.upf
O 16.00 O.upf
Be 9.01 Be.upf
ATOMIC_POSITIONS angstrom
Pt 6.138 2.068 5.047
Pt 3.533 0.689 1.023
Pt 0.309 0.689 3.001
Pt 2.915 2.068 7.025
O 3.713 0.689 3.137
O 0.490 0.689 0.887
O 2.734 2.068 4.911
O 5.957 2.068 7.161
Be 4.132 2.068 3.882
Be 5.538 0.689 7.906
Be 2.315 0.689 4.166
Be 0.909 2.068 0.142
CELL_PARAMETERS angstrom
6.447 0.000 0.000
0.000 2.757 0.000
0.000 0.000 8.048